Model i:
Entry from Alexandria: an optimized crystal structure of LiP2SN (PBE).

Cell lengths 3.872, 3.872, 4.936 Å; angles 90.00, 90.00, 90.00 degrees
Positions (direct):
P 0.000 0.500 0.000
P 0.500 0.000 0.000
S 0.000 0.000 0.500
Li 0.500 0.500 0.500
N 0.000 0.000 0.000

* space group: P4/mmm (123)
* density: 2.58 g/cm3

Model ii:
Entry from Alexandria: an optimized crystal structure of LiP2SN (PBE).

Cell lengths 4.384, 4.384, 4.279 Å; angles 90.00, 90.00, 90.00 degrees
Each line ends with the local moment (μB).
Positions (direct):
P 0.000 0.500 0.000  -0.04
P 0.500 0.000 0.000  -0.04
S 0.000 0.000 0.500  0.20
Li 0.000 0.000 0.000  0.03
N 0.500 0.500 0.500  1.56

* space group: P4/mmm (123)
* density: 2.32 g/cm3

Relative to the most stable structure, the computed energies are model i 0.000; model ii 1.022, all in eV/atom.